# 1
This record from Alexandria via LeMat-Bulk describes an optimized crystal structure of LaSnSb2. The functional is PBE.

Output
Calculated volume = 251.9 Å³ per cell
Formation energy from raw total energies = -434 meV per atom
VASP energy = -4.727 eV/atom

Cell: 8.776 8.776 7.015 Å, 51.27 51.27 90.00°
Atoms (fractional coordinates):
Sn: 0.500 0.500 0.000
Sb: 0.617 0.125 0.250
Sb: 0.375 0.383 0.750
La: 0.750 0.250 0.500
Sb: 0.875 0.867 0.750
La: 0.000 0.000 0.000
Sb: 0.133 0.625 0.250
Sn: 0.250 0.750 0.500

# 2
This record from Alexandria via LeMat-Bulk describes an optimized crystal structure of LaSn3Sb. The functional is PBE.

Output
Energy above the lowest structure with this stoichiometry = 0 meV per atom
Calculated volume = 180.4 Å³ per cell
Formation energy from raw total energies = 305 meV per atom
VASP energy = -3.907 eV/atom

Cell: 5.651 5.651 5.651 Å, 90.00 90.00 90.00°
Atoms (fractional coordinates):
La: 0.500 0.500 0.500
Sb: 0.000 0.000 0.000
Sn: 0.000 0.000 0.500
Sn: 0.000 0.500 0.000
Sn: 0.500 0.000 0.000

# 3
This record from Alexandria via LeMat-Bulk describes an optimized crystal structure of LaSnSb2. The functional is PBE.

Output
Calculated volume = 235.4 Å³ per cell
Formation energy from raw total energies = -605 meV per atom
VASP energy = -4.899 eV/atom

Cell: 4.529 4.529 11.478 Å, 90.00 90.00 90.00°
Atoms (fractional coordinates):
La: 0.500 0.000 0.723
Sb: 0.500 0.000 0.229
Sn: 0.500 0.500 0.000
Sb: 0.000 0.000 0.500
Sb: 0.500 0.500 0.500
Sb: 0.000 0.500 0.771
La: 0.000 0.500 0.277
Sn: 0.000 0.000 0.000

# 4
This record from Alexandria via LeMat-Bulk describes an optimized crystal structure of La2SnSb2. The functional is PBE.

Output
Energy above the lowest structure with this stoichiometry = 127 meV per atom
Calculated volume = 320.9 Å³ per cell
Formation energy from raw total energies = -754 meV per atom
VASP energy = -5.175 eV/atom

Cell: 8.650 8.650 4.289 Å, 90.00 90.00 90.00°
Atoms (fractional coordinates):
Sb: 0.662 0.838 0.500
Sn: 0.500 0.500 0.000
La: 0.148 0.352 0.000
La: 0.648 0.148 0.000
La: 0.852 0.648 0.000
Sb: 0.338 0.162 0.500
Sb: 0.162 0.662 0.500
La: 0.352 0.852 0.000
Sb: 0.838 0.338 0.500
Sn: 0.000 0.000 0.000

| no. | size of the total moment (μB/cell) |
| --- | --- |
| 1 | 0.0 |
| 2 | 0.0 |
| 3 | 0.0 |
| 4 | 0.0 |